# 1
4
Lattice="6.173 0.001 0.000 2.789 5.507 0.000 -4.481 -2.754 3.231" Properties=species:S:1:pos:R:3 comment="La2InSi PBE optimized geometry" final_energy_ev_per_atom=-4.907 formation_energy_uncorrected_ev_per_atom=-0.403 pbc="T T T"
In 3.086 0.001 1.616
La 0.000 0.000 0.000
La 1.394 2.753 1.616
Si 4.481 2.754 0.000



# 2
20
Lattice="-3.994 0.666 -3.830 3.067 -5.005 -4.068 -4.506 -3.793 4.039" Properties=species:S:1:pos:R:3 comment="Ho3InO6 PBE optimized geometry" polymorph_energy_kj_per_mol_fu=52 final_energy_ev_per_atom=-7.665 formation_energy_uncorrected_ev_per_atom=-3.043 pbc="T T T"
Ho -2.246 -6.882 -2.708
Ho -5.858 -6.290 -2.894
Ho -3.158 -3.997 -0.814
Ho -3.638 -3.907 -4.353
Ho -4.985 -0.950 -2.876
Ho -1.373 -1.542 -2.690
In -7.086 -3.353 -1.221
In -0.261 -4.459 -4.475
O -1.592 -5.704 -0.925
O -3.875 -5.325 -2.533
O -3.515 -5.440 1.116
O -1.976 -5.673 -4.585
O -5.142 -3.686 3.058
O -5.365 -3.638 -0.159
O 0.880 -4.651 -2.791
O 0.069 -4.506 -6.573
O -3.039 -2.528 1.125
O -1.500 -2.761 -4.575
O -1.129 -2.878 -0.916
O -3.413 -2.499 -2.524



# 3
8
Lattice="4.003 0.000 0.000 0.000 6.980 0.135 0.000 -2.423 6.532" Properties=species:S:1:pos:R:3 comment="CeNd2YS4 PBE optimized geometry" final_energy_ev_per_atom=-6.833 formation_energy_uncorrected_ev_per_atom=-2.028 pbc="T T T"
Ce 2.001 3.490 0.068
Nd 2.001 -1.211 3.266
Nd 0.000 2.279 3.333
Y 0.000 0.000 0.000
S 2.001 1.110 1.594
S 2.001 3.448 5.073
S 0.000 -0.105 4.981
S 0.000 4.662 1.685



# 4
4
Lattice="4.926 0.000 0.000 2.463 4.266 0.000 2.463 1.422 4.022" Properties=species:S:1:pos:R:3 comment="CeSmIrRu PBE optimized geometry" formation_energy_mev_per_atom=-449 final_energy_ev_per_atom=-7.647 pbc="T T T"
Ru 7.389 4.266 3.016
Ir 2.463 1.422 1.005
Ce 4.926 2.844 2.011
Sm 0.000 0.000 0.000



# 5
5
Lattice="4.377 0.000 0.000 0.000 6.323 0.000 0.000 0.000 4.377" Properties=species:S:1:pos:R:3 comment="TlAuC2Br PBE optimized geometry" final_energy_ev_per_atom=-2.663 formation_energy_uncorrected_ev_per_atom=2.490 pbc="T T T"
Tl 0.000 0.000 0.000
Au 2.188 3.161 2.188
C 0.000 0.000 2.188
C 2.188 0.000 0.000
Br 0.000 3.161 0.000



# 6
5
Lattice="4.785 0.000 0.000 0.000 4.866 0.000 0.000 0.000 4.785" Properties=species:S:1:pos:R:3 comment="ScBeNb2As PBE optimized geometry" formation_energy_mev_per_atom=1622 final_energy_ev_per_atom=-5.347 pbc="T T T"
Sc 0.000 0.000 0.000
Be 2.392 2.433 2.392
Nb 0.000 0.000 2.392
Nb 2.392 0.000 0.000
As 0.000 2.433 0.000



# 7
8
Lattice="-3.660 -1.949 -0.626 0.175 0.979 -4.074 5.220 -5.624 1.031" Properties=species:S:1:pos:R:3 comment="Mg2NpRh5 PBE optimized geometry" formation_energy_mev_per_atom=-458 final_energy_ev_per_atom=-7.069 pbc="T T T"
Mg -0.008 -3.532 -3.008
Mg 1.743 -3.061 -0.661
Np 0.000 0.000 0.000
Rh -1.743 -0.485 -2.350
Rh 0.758 -5.520 -1.294
Rh 2.675 -4.056 -3.018
Rh 0.977 -1.073 -2.374
Rh -0.940 -2.537 -0.650



# 8
4
Lattice="3.049 0.000 0.000 0.000 3.049 0.000 0.000 0.000 9.868" Properties=species:S:1:pos:R:3 comment="TaHg2Cl PBE optimized geometry" polymorph_energy_kj_per_mol_fu=78 final_energy_ev_per_atom=-3.514 formation_energy_uncorrected_ev_per_atom=0.062 pbc="T T T"
Cl 1.525 1.525 6.581
Hg 0.000 0.000 0.266
Hg 1.525 1.525 2.949
Ta 0.000 0.000 5.005



# 9
4
Lattice="-3.917 -2.590 1.044 0.460 -4.416 1.852 -1.189 -0.820 4.589" Properties=species:S:1:pos:R:3 comment="LaScP2 PBE optimized geometry" formation_energy_mev_per_atom=-283 polymorph_energy_kj_per_mol_fu=460 final_energy_ev_per_atom=-5.803 pbc="T T T"
La -2.323 -3.913 3.742
P 0.000 0.000 0.000
P -1.162 -1.957 1.871
Sc -3.485 -5.870 5.613



# 10
5
Lattice="3.674 0.000 0.000 0.000 3.674 0.000 0.000 0.000 3.674" Properties=species:S:1:pos:R:3 comment="LiBe3W PBE optimized geometry" formation_energy_mev_per_atom=727 polymorph_energy_kj_per_mol_fu=0 final_energy_ev_per_atom=-4.483 pbc="T T T"
Be 0.000 1.837 0.000
Be 0.000 0.000 1.837
Be 1.837 0.000 0.000
W 1.837 1.837 1.837
Li 0.000 0.000 0.000



# 11
5
Lattice="-0.176 -3.330 -3.232 4.122 1.373 -1.639 2.131 -2.931 2.904" Properties=species:S:1:pos:R:3 comment="ZrNi3Sb PBE optimized geometry" polymorph_energy_kj_per_mol_fu=208 final_energy_ev_per_atom=-5.033 formation_energy_uncorrected_ev_per_atom=0.970 pbc="T T T"
Sb 3.039 -2.444 -0.984
Zr 0.000 0.000 0.000
Ni 2.061 0.687 -0.820
Ni 1.066 -1.465 1.452
Ni -0.088 -1.665 -1.616



# 12
5
Lattice="3.772 0.000 0.000 0.000 3.772 0.000 0.000 0.000 4.457" Properties=species:S:1:pos:R:3 comment="LiPtN2O PBE optimized geometry" final_energy_ev_per_atom=-5.127 formation_energy_uncorrected_ev_per_atom=0.786 pbc="T T T"
Li 1.886 1.886 2.229
O 0.000 0.000 2.229
Pt 0.000 0.000 0.000
N 0.000 1.886 0.000
N 1.886 0.000 0.000



Number 1: M_tot 0.00 μB/atom. Number 2: M_tot 0.00 μB/atom. Number 3: M_tot 0.09 μB/atom. Number 4: M_tot 0.02 μB/atom. Number 5: M_tot 0.52 μB/atom. Number 6: M_tot 0.12 μB/atom. Number 7: M_tot 0.12 μB/atom. Number 8: M_tot 0.00 μB/atom. Number 9: M_tot 0.00 μB/atom. Number 10: M_tot 0.00 μB/atom. Number 11: M_tot 0.00 μB/atom. Number 12: M_tot 0.04 μB/atom.